This record from Alexandria describes Ba2LiSbS after structural relaxation. The functional is PBE-GGA.

Computed properties:
* uncorrected formation energy: -1.3478 eV per atom
* space-group type: P2_1/m, No. 11
* final energy: -4.15 eV/atom
* E above lowest polymorph: 0 meV/atom

Geometry as extended XYZ:
```
10
Lattice="4.7901 0.0000 0.0000 0.0000 7.7945 0.3227 0.0000 -2.9600 8.8812" Properties=species:S:1:pos:R:3 pbc="T T T"
Ba 3.5925 4.5850 5.6142
Ba 3.5925 5.8052 0.5799
Ba 1.1975 0.2495 3.5897
Ba 1.1975 -0.9707 8.6240
Li 1.1975 1.9712 6.5774
Li 3.5925 2.8634 2.6265
Sb 1.1975 4.2837 2.9060
Sb 3.5925 0.5508 6.2979
S 1.1975 4.0430 7.6492
S 3.5925 0.7915 1.5547
```